Material: Ca2SmRh2
Method: DFT, PBE
State: optimized geometry

Computed properties:
Formation energy, eV/f.u.: -2.3
Space group: C2/m, No. 12
V, A^3/atom: 24.7
M_tot, μB per atom: 0.000

abc: 5.980 5.980 4.289
angles: 110.89 110.89 62.58
Fractional positions:
Ca (0.195, 0.195, 0.195)
Ca (0.805, 0.805, 0.805)
Sm (0.500, 0.500, 0.000)
Rh (0.218, 0.782, 0.500)
Rh (0.782, 0.218, 0.500)